The following is a PBE calculation of crystalline Y2MgPd2 at its relaxed geometry, from Alexandria via LeMat-Bulk.

```
Y2MgPd2
1.0
-4.829 0.124 2.603
1.660 -4.079 3.274
-0.099 0.736 5.566
Pd Y Mg
2 2 1
Cartesian
-1.106 -1.103 3.785
-2.163 -2.117 7.657
-0.012 -2.661 5.889
-3.257 -0.559 5.553
0.000 0.000 0.000
```

Computed properties:
spin magnetization = 0.00 μB per cell
total energy = -5.522 eV per atom
ΔH_f (0 K) = -0.54 eV per atom